1.
First-principles (PBE) data for crystalline Tc4HgOs at its relaxed geometry, as listed in the Alexandria database.

Cell lengths 7.2601, 7.2601, 7.2601 Å; angles 90.00, 90.00, 90.00 degrees
Space group F-43m (No. 216)
Unique sites:
1 Tc 0.1243 0.1243 0.1243 x16
2 Hg 0.2500 0.2500 0.7500 x4
3 Os 0.0000 0.0000 0.5000 x4

Computed properties:
density of states at the Fermi level: 4.7 states/eV/f.u.
DFT formation energy: 614.9 meV per atom
raw total energy: -197.22 eV for the cell shown

=====

2.
First-principles (PBE) data for crystalline Tc2HgOs at its relaxed geometry, as listed in the Alexandria database.

Cell lengths 4.7246, 4.7246, 2.8636 Å; angles 90.00, 90.00, 90.00 degrees
Space group P4/mmm (No. 123)
Unique sites:
1 Tc 0.0000 0.5000 0.0000 x2
2 Hg 0.0000 0.0000 0.5000 x1
3 Os 0.5000 0.5000 0.5000 x1

Computed properties:
density of states at the Fermi level: 6.4 states/eV/f.u.
DFT formation energy: 776.0 meV per atom
raw total energy: -29.16 eV for the cell shown

=====

3.
First-principles (PBE) data for crystalline Tc2HgOs at its relaxed geometry, as listed in the Alexandria database.

Cell lengths 4.8445, 2.8375, 4.8703 Å; angles 90.00, 110.01, 90.00 degrees
Space group P2/m (No. 10)
Unique sites:
1 Tc 0.0000 0.0000 0.0000 x1
2 Tc 0.5000 0.5000 0.0000 x1
3 Hg 0.0000 0.5000 0.5000 x1
4 Os 0.5000 0.0000 0.5000 x1

Computed properties:
density of states at the Fermi level: 4.8 states/eV/f.u.
DFT formation energy: 683.2 meV per atom
raw total energy: -29.53 eV for the cell shown

=====

Question: Which of these has the lowest raw total energy?
Answer: Tc4HgOs

=====

Question: Which formula does entry 1 have?
Answer: Tc4HgOs